Entry 1:
This record from Alexandria describes an optimized crystal structure of Tb2Dy2ThMg5. The functional is PBE.

Computed properties:
Spin magnetization (Bohr magnetons per cell): 0.0
SG: No. 127
Calculated total energy (eV per atom): -3.27

a b c (Å): 5.1767 10.5219 10.5219
angles (deg): 90.00 90.00 90.00
With the nearest neighbours (Å) after each atom.
Fractional positions:
Tb 0.0000 0.8231 0.6769  3 Dy 3.02-3.18
Tb 0.0000 0.6769 0.1769  3 Dy 3.02-3.18
Tb 0.0000 0.3231 0.8231  3 Dy 3.02-3.18
Tb 0.0000 0.1769 0.3231  3 Dy 3.02-3.18
Dy 0.0000 0.1205 0.6205  3 Tb 3.02-3.18, 6 Mg 3.15-3.26
Dy 0.0000 0.6205 0.8795  3 Tb 3.02-3.18, 6 Mg 3.15-3.26
Dy 0.0000 0.8795 0.3795  3 Tb 3.02-3.18, 6 Mg 3.15-3.26
Dy 0.0000 0.3795 0.1205  3 Tb 3.02-3.18, 6 Mg 3.15-3.26
Th 0.0000 0.5000 0.5000  8 Mg 3.41
Th 0.0000 0.0000 0.0000  8 Mg 3.41
Mg 0.5000 0.8035 0.9231  4 Mg 3.14-3.37, 2 Dy 3.26, 2 Th 3.41
Mg 0.5000 0.6965 0.4231  4 Mg 3.14-3.37, 2 Dy 3.26, 2 Th 3.41
Mg 0.5000 0.1965 0.0769  4 Mg 3.14-3.37, 2 Dy 3.26, 2 Th 3.41
Mg 0.5000 0.0769 0.8035  4 Mg 3.14-3.37, 2 Dy 3.26, 2 Th 3.41
Mg 0.5000 0.4231 0.3035  4 Mg 3.14-3.37, 2 Dy 3.26, 2 Th 3.41
Mg 0.5000 0.5769 0.6965  4 Mg 3.14-3.37, 2 Dy 3.26, 2 Th 3.41
Mg 0.5000 0.5000 0.0000  4 Dy 3.15, 4 Mg 3.29
Mg 0.5000 0.0000 0.5000  4 Dy 3.15, 4 Mg 3.29
Mg 0.5000 0.3035 0.5769  4 Mg 3.14-3.37, 2 Dy 3.26, 2 Th 3.41
Mg 0.5000 0.9231 0.1965  4 Mg 3.14-3.37, 2 Dy 3.26, 2 Th 3.41

Entry 2:
This record from Alexandria describes an optimized crystal structure of HfZr5Zn6. The functional is PBE.

Computed properties:
Spin magnetization (Bohr magnetons per cell): 0.0
SG: No. 65
Calculated total energy (eV per atom): -5.29

a b c (Å): 4.7247 6.6550 7.4656
angles (deg): 90.00 71.55 90.00
With the nearest neighbours (Å) after each atom.
Fractional positions:
Zn 0.5000 0.7513 0.0000  6 Zr 2.88-2.91, 2 Hf 2.88
Zn 0.1655 0.7527 0.6691  1 Hf 2.86, 7 Zr 2.88-2.90
Zn 0.5000 0.2487 0.0000  6 Zr 2.88-2.91, 2 Hf 2.88
Zn 0.1655 0.2473 0.6691  1 Hf 2.86, 7 Zr 2.88-2.90
Zn 0.8345 0.7527 0.3309  1 Hf 2.86, 7 Zr 2.88-2.90
Zn 0.8345 0.2473 0.3309  1 Hf 2.86, 7 Zr 2.88-2.90
Zr 0.6662 0.0000 0.6676  8 Zn 2.88-2.90
Zr 0.3338 0.0000 0.3324  8 Zn 2.88-2.90
Zr 0.0000 0.5000 0.0000  8 Zn 2.88-2.89
Zr 0.6680 0.5000 0.6641  8 Zn 2.90-2.91
Zr 0.3320 0.5000 0.3359  8 Zn 2.90-2.91
Hf 0.0000 0.0000 0.0000  8 Zn 2.86-2.88

Entry 3:
This record from Alexandria describes an optimized crystal structure of Tl2Si2S5. The functional is PBE.

Computed properties:
Spin magnetization (Bohr magnetons per cell): 0.0
SG: No. 12
Calculated total energy (eV per atom): -4.40

a b c (Å): 4.8926 6.4962 7.6454
angles (deg): 96.94 90.00 112.12
With the nearest neighbours (Å) after each atom.
Fractional positions:
Si 0.8412 0.6823 0.1112  3 S 2.06-2.19
Si 0.1588 0.3177 0.8888  3 S 2.06-2.19
S 0.1442 0.2884 0.6167  1 Si 2.06
S 0.0000 0.0000 0.0000  2 Si 2.19
S 0.6860 0.3720 0.9375  1 Si 2.15
S 0.3140 0.6280 0.0625  1 Si 2.15
S 0.8558 0.7116 0.3833  1 Si 2.06
Tl 0.4043 0.8087 0.6600  4 S 3.11-3.39
Tl 0.5957 0.1913 0.3400  4 S 3.11-3.39

Entry 4:
This record from Alexandria describes an optimized crystal structure of TmAsAu2. The functional is PBE.

Computed properties:
Spin magnetization (Bohr magnetons per cell): 0.0
SG: No. 123
Calculated total energy (eV per atom): -4.57

a b c (Å): 5.0120 4.0103 4.0103
angles (deg): 90.00 90.00 90.00
With the nearest neighbours (Å) after each atom.
Fractional positions:
Au 0.0000 0.5000 0.0000  4 Au 2.84
Au 0.0000 0.0000 0.5000  4 Au 2.84
As 0.5000 0.0000 0.0000  4 Tm 2.84
Tm 0.5000 0.5000 0.5000  4 As 2.84

Entry 5:
This record from Alexandria describes an optimized crystal structure of HfNb2Cu. The functional is PBE.

Computed properties:
Spin magnetization (Bohr magnetons per cell): 0.0
SG: No. 225
Calculated total energy (eV per atom): -8.29
Energy relative to the lowest polymorph listed for this composition (meV/atom): 0

a b c (Å): 4.6294 4.6294 4.6294
angles (deg): 60.00 60.00 60.00
With the nearest neighbours (Å) after each atom.
Fractional positions:
Nb 0.7500 0.7500 0.7500  4 Hf 2.83, 4 Cu 2.83
Nb 0.2500 0.2500 0.2500  4 Hf 2.83, 4 Cu 2.83
Cu 0.0000 0.0000 0.0000  8 Nb 2.83
Hf 0.5000 0.5000 0.5000  8 Nb 2.83

Entry 6:
This record from Alexandria describes an optimized crystal structure of KScW2. The functional is PBE.

Computed properties:
Spin magnetization (Bohr magnetons per cell): 0.0
SG: No. 225
Calculated total energy (eV per atom): -6.31
Energy relative to the lowest polymorph listed for this composition (meV/atom): 1403

a b c (Å): 4.8748 4.8748 4.8748
angles (deg): 60.00 60.00 60.00
With the nearest neighbours (Å) after each atom.
Fractional positions:
K 0.0000 0.0000 0.0000  8 W 2.99
Sc 0.5000 0.5000 0.5000  8 W 2.99
W 0.2500 0.2500 0.2500  4 K 2.99, 4 Sc 2.99
W 0.7500 0.7500 0.7500  4 K 2.99, 4 Sc 2.99